DFT (PBE) results for a relaxed structure of Pd7PbAu4.

Cell: 10.2252 5.0188 9.9230 Å, 90.00 119.43 90.00°
Closest atoms and distances in Å follow each position.
Space group C2/m (No. 12)
Symmetry-distinct sites (fractional):
Pd: 0.0000 0.0000 0.0000  2 Pb 2.51, 2 Pd 2.69, 2 Au 2.78
Pd: 0.1136 0.5000 0.4573  5 Au 2.75-2.83, 4 Pd 2.82-2.89
Pd: 0.1532 0.0000 0.6170  5 Pd 2.72-2.89, 4 Au 2.75-2.87
Pd: 0.2130 0.0000 0.9156  1 Pb 2.63, 4 Pd 2.69-2.90, 4 Au 2.76-2.84
Pb: 0.0000 0.5000 0.0000  4 Pd 2.51-2.63
Au: 0.0854 0.0000 0.3127  7 Pd 2.75-2.85, 1 Au 2.85
Au: 0.1836 0.5000 0.7695  8 Pd 2.75-2.90, 1 Au 2.85

Its density of states at the Fermi level is 0.767 states/eV/atom. The value obtained for the formation enthalpy at 0 K is 0.065 eV/atom.

DFT (PBE) results for a relaxed structure of Pd4Pb3Au2.

Cell: 14.4019 9.9923 5.0171 Å, 90.00 100.33 90.00°
Closest atoms and distances in Å follow each position.
Space group C2/c (No. 15)
Symmetry-distinct sites (fractional):
Pd: 0.0546 0.1218 0.0302  5 Pb 2.81-2.99, 4 Pd 2.88-3.02
Pd: 0.1071 0.3892 0.2969  3 Au 2.84-3.11, 4 Pb 2.88-2.98, 2 Pd 3.02-3.04
Pb: 0.0000 0.3663 0.7500  8 Pd 2.86-2.98, 2 Au 3.16
Pb: 0.1560 0.1313 0.5625  5 Pd 2.81-2.99, 4 Au 3.01-3.07
Au: 0.2225 0.3789 0.8825  4 Pd 2.84-3.16, 1 Au 2.88, 5 Pb 3.01-3.16

Its density of states at the Fermi level is 0.467 states/eV/atom. The value obtained for the formation enthalpy at 0 K is -0.139 eV/atom.

DFT (PBE) results for a relaxed structure of Pd4PbAu7.

Cell: 10.6184 5.1678 9.9770 Å, 90.00 121.40 90.00°
Closest atoms and distances in Å follow each position.
Space group C2/m (No. 12)
Symmetry-distinct sites (fractional):
Pd: 0.0899 0.0000 0.3169  7 Au 2.72-3.03, 1 Pd 2.86
Pd: 0.1908 0.5000 0.7671  8 Au 2.76-2.94, 1 Pd 2.86
Pb: 0.0000 0.5000 0.0000  4 Au 2.58-2.77
Au: 0.0000 0.0000 0.0000  2 Pb 2.58, 2 Au 2.73, 4 Pd 2.79-2.87
Au: 0.1095 0.5000 0.4489  5 Pd 2.77-2.86, 4 Au 2.87-2.99
Au: 0.1602 0.0000 0.6205  5 Au 2.72-2.99, 4 Pd 2.72-3.03
Au: 0.2067 0.0000 0.9152  4 Au 2.72-2.96, 4 Pd 2.76-2.94, 1 Pb 2.77

Its density of states at the Fermi level is 0.403 states/eV/atom. The value obtained for the formation enthalpy at 0 K is 0.113 eV/atom.

DFT (PBE) results for a relaxed structure of Pd3PbAu4.

Cell: 17.7159 3.8148 4.3417 Å, 90.00 103.83 90.00°
Closest atoms and distances in Å follow each position.
Space group C2/m (No. 12)
Symmetry-distinct sites (fractional):
Pd: 0.0000 0.0000 0.0000  4 Pb 2.89, 4 Au 2.92, 4 Pd 3.03-3.04
Pd: 0.1235 0.0000 0.6222  2 Pb 2.85, 8 Au 2.89-3.08, 2 Pd 3.03-3.04
Pb: 0.0000 0.5000 0.5000  8 Pd 2.85-2.89, 4 Au 3.09-3.10
Au: 0.1285 0.5000 0.1272  4 Au 2.83-3.03, 6 Pd 2.89-2.92, 2 Pb 3.09-3.10
Au: 0.2497 0.0000 0.2499  8 Au 2.83-3.03, 4 Pd 2.90-3.08

Its density of states at the Fermi level is 0.434 states/eV/atom. The value obtained for the formation enthalpy at 0 K is -0.120 eV/atom. As for the energy above the most stable polymorph in this dataset: 0 meV per atom.

DFT (PBE) results for a relaxed structure of Pd4PbAu4.

Cell: 8.5558 8.5558 4.3342 Å, 90.00 90.00 90.00°
Closest atoms and distances in Å follow each position.
Space group I4/mmm (No. 139)
Symmetry-distinct sites (fractional):
Pd: 0.0000 0.3354 0.0000  6 Au 2.80-2.97, 5 Pd 2.82-2.94, 1 Pb 2.87
Pb: 0.0000 0.0000 0.0000  4 Pd 2.87, 8 Au 3.01
Au: 0.1724 0.1724 0.5000  6 Pd 2.80-2.97, 4 Au 2.87-2.95, 2 Pb 3.01

Its density of states at the Fermi level is 0.404 states/eV/atom. The value obtained for the formation enthalpy at 0 K is -0.095 eV/atom.

DFT (PBE) results for a relaxed structure of Pd6Pb2Au.

Cell: 8.7759 4.2776 8.5905 Å, 90.00 102.18 90.00°
Closest atoms and distances in Å follow each position.
Space group C2/m (No. 12)
Symmetry-distinct sites (fractional):
Pd: 0.0066 0.0000 0.3336  3 Pb 2.81-2.85, 1 Au 2.85, 8 Pd 2.86-3.07
Pd: 0.1583 0.5000 0.5550  9 Pd 2.74-2.98, 3 Pb 2.77-2.95
Pd: 0.1639 0.5000 0.8951  3 Au 2.83-2.90, 4 Pb 2.90-2.99, 5 Pd 2.91-3.07
Pb: 0.1802 0.5000 0.2378  10 Pd 2.77-2.99
Au: 0.0000 0.0000 0.0000  8 Pd 2.83-2.90, 4 Pb 3.14

Its density of states at the Fermi level is 0.451 states/eV/atom. The value obtained for the formation enthalpy at 0 K is -0.199 eV/atom. As for the energy above the most stable polymorph in this dataset: 0 meV per atom.

DFT (PBE) results for a relaxed structure of PdPb3Au.

Cell: 9.0253 6.1040 9.8263 Å, 90.00 111.18 90.00°
Closest atoms and distances in Å follow each position.
Space group P2_1/c (No. 14)
Symmetry-distinct sites (fractional):
Pd: 0.0004 0.2454 0.0017  8 Pb 2.94-3.08, 2 Pd 3.00-3.11
Pb: 0.1068 0.0122 0.2875  1 Au 2.95, 4 Pd 2.98-3.08
Pb: 0.2825 0.5045 0.1753  2 Au 2.93-2.95, 2 Pd 2.94-2.96
Pb: 0.2965 0.5007 0.5252  2 Pd 2.99-3.00, 2 Au 3.10-3.12
Au: 0.4381 0.6429 0.8837  1 Au 2.77, 4 Pb 2.93-3.10

Its density of states at the Fermi level is 0.433 states/eV/atom. The value obtained for the formation enthalpy at 0 K is -0.124 eV/atom. As for the energy above the most stable polymorph in this dataset: 0 meV per atom.

DFT (PBE) results for a relaxed structure of Pd5PbAu6.

Cell: 4.1862 8.1740 12.2633 Å, 90.00 90.00 90.00°
Closest atoms and distances in Å follow each position.
Space group Immm (No. 71)
Symmetry-distinct sites (fractional):
Pd: 0.0000 0.0000 0.0000  8 Au 2.79-2.85, 4 Pd 3.00
Pd: 0.0000 0.0000 0.3443  2 Pb 2.83, 8 Au 2.88-3.01, 2 Pd 2.94
Pd: 0.0000 0.5000 0.3245  8 Au 2.84-2.86, 4 Pd 2.94-3.00
Pb: 0.0000 0.5000 0.0000  4 Pd 2.83, 8 Au 3.00-3.07
Au: 0.0000 0.2366 0.1707  7 Pd 2.85-3.01, 4 Au 2.87-2.96, 1 Pb 3.00
Au: 0.0000 0.2739 0.5000  6 Pd 2.79-2.94, 4 Au 2.96, 2 Pb 3.07

Its density of states at the Fermi level is 0.347 states/eV/atom. The value obtained for the formation enthalpy at 0 K is -0.097 eV/atom.

DFT (PBE) results for a relaxed structure of PdPb4Au5.

Cell: 8.8107 8.8107 6.0490 Å, 90.00 90.00 90.00°
Closest atoms and distances in Å follow each position.
Space group I4 (No. 79)
Symmetry-distinct sites (fractional):
Pd: 0.0000 0.0000 0.0000  5 Au 2.83-2.84, 4 Pb 3.00
Pb: 0.0638 0.2970 0.7768  6 Au 2.95-3.11, 1 Pd 3.00
Au: 0.0000 0.0000 0.5327  1 Pd 2.83, 4 Au 2.83, 4 Pb 3.06
Au: 0.0883 0.2496 0.2678  1 Au 2.83, 1 Pd 2.84, 5 Pb 2.95-3.11

Its density of states at the Fermi level is 0.357 states/eV/atom. The value obtained for the formation enthalpy at 0 K is -0.091 eV/atom.

DFT (PBE) results for a relaxed structure of Pd3Pb2Au.

Cell: 11.1495 5.7418 8.0542 Å, 90.00 111.04 90.00°
Closest atoms and distances in Å follow each position.
Space group C2/c (No. 15)
Symmetry-distinct sites (fractional):
Pd: 0.0000 0.2329 0.2500  2 Au 2.86-2.88, 4 Pd 2.89-2.90, 4 Pb 2.99-3.00
Pd: 0.1354 0.4983 0.0672  2 Au 2.80-2.81, 3 Pd 2.82-2.90, 4 Pb 2.85-2.90
Pb: 0.1703 0.0033 0.5869  6 Pd 2.85-3.00, 2 Au 3.06-3.11
Au: 0.0000 0.2655 0.7500  6 Pd 2.80-2.88, 4 Pb 3.06-3.11

Its density of states at the Fermi level is 0.550 states/eV/atom. The value obtained for the formation enthalpy at 0 K is -0.146 eV/atom. As for the energy above the most stable polymorph in this dataset: 23 meV per atom.

DFT (PBE) results for a relaxed structure of Pd3PbAu2.

Cell: 4.3503 13.1873 7.4433 Å, 90.00 90.00 90.00°
Closest atoms and distances in Å follow each position.
Space group Cmmm (No. 65)
Symmetry-distinct sites (fractional):
Pd: 0.0000 0.0000 0.2364  6 Au 2.80-2.93, 2 Pb 2.84, 4 Pd 3.10
Pd: 0.0000 0.3327 0.2480  5 Au 2.85-2.90, 3 Pb 2.88-2.99, 4 Pd 3.08-3.10
Pb: 0.0000 0.1558 0.5000  8 Pd 2.84-2.99, 2 Au 2.99
Au: 0.0000 0.1684 0.0000  8 Pd 2.83-2.85, 4 Au 3.06-3.11
Au: 0.0000 0.5000 0.0000  8 Pd 2.80-2.88, 4 Au 3.11
Au: 0.0000 0.5000 0.5000  8 Pd 2.90-2.93, 4 Pb 2.99

Its density of states at the Fermi level is 0.400 states/eV/atom. The value obtained for the formation enthalpy at 0 K is -0.146 eV/atom. As for the energy above the most stable polymorph in this dataset: 0 meV per atom.

DFT (PBE) results for a relaxed structure of Pd6PbAu5.

Cell: 4.2953 12.8584 7.4522 Å, 90.00 90.21 90.00°
Closest atoms and distances in Å follow each position.
Space group C2/m (No. 12)
Symmetry-distinct sites (fractional):
Pd: 0.0002 0.0000 0.2475  2 Pb 2.83-2.84, 6 Au 2.84-2.89, 4 Pd 3.03
Pd: 0.9998 0.3341 0.2531  7 Au 2.80-2.87, 1 Pb 2.85, 4 Pd 3.03-3.05
Pb: 0.0000 0.5000 0.0000  8 Pd 2.83-2.85, 4 Au 3.09
Au: 0.0000 0.1658 0.5000  8 Pd 2.82-2.84, 4 Au 3.03-3.05
Au: 0.0000 0.1733 0.0000  8 Pd 2.80-2.89, 2 Au 2.92, 2 Pb 3.09
Au: 0.0000 0.5000 0.5000  8 Pd 2.82-2.86, 4 Au 3.03

Its density of states at the Fermi level is 0.356 states/eV/atom. The value obtained for the formation enthalpy at 0 K is -0.144 eV/atom.

Please write out number 11 again, unchanged.
DFT (PBE) results for a relaxed structure of Pd3PbAu2.

Cell: 4.3503 13.1873 7.4433 Å, 90.00 90.00 90.00°
Closest atoms and distances in Å follow each position.
Space group Cmmm (No. 65)
Symmetry-distinct sites (fractional):
Pd: 0.0000 0.0000 0.2364  6 Au 2.80-2.93, 2 Pb 2.84, 4 Pd 3.10
Pd: 0.0000 0.3327 0.2480  5 Au 2.85-2.90, 3 Pb 2.88-2.99, 4 Pd 3.08-3.10
Pb: 0.0000 0.1558 0.5000  8 Pd 2.84-2.99, 2 Au 2.99
Au: 0.0000 0.1684 0.0000  8 Pd 2.83-2.85, 4 Au 3.06-3.11
Au: 0.0000 0.5000 0.0000  8 Pd 2.80-2.88, 4 Au 3.11
Au: 0.0000 0.5000 0.5000  8 Pd 2.90-2.93, 4 Pb 2.99

Its density of states at the Fermi level is 0.400 states/eV/atom. The value obtained for the formation enthalpy at 0 K is -0.146 eV/atom. As for the energy above the most stable polymorph in this dataset: 0 meV per atom.

Among the records above, which one has the highest formation enthalpy at 0 K?
Pd4PbAu7

What is the formation enthalpy at 0 K in the eighth record?
-0.097 eV/atom

Copy entry 8 word for word.
DFT (PBE) results for a relaxed structure of Pd5PbAu6.

Cell: 4.1862 8.1740 12.2633 Å, 90.00 90.00 90.00°
Closest atoms and distances in Å follow each position.
Space group Immm (No. 71)
Symmetry-distinct sites (fractional):
Pd: 0.0000 0.0000 0.0000  8 Au 2.79-2.85, 4 Pd 3.00
Pd: 0.0000 0.0000 0.3443  2 Pb 2.83, 8 Au 2.88-3.01, 2 Pd 2.94
Pd: 0.0000 0.5000 0.3245  8 Au 2.84-2.86, 4 Pd 2.94-3.00
Pb: 0.0000 0.5000 0.0000  4 Pd 2.83, 8 Au 3.00-3.07
Au: 0.0000 0.2366 0.1707  7 Pd 2.85-3.01, 4 Au 2.87-2.96, 1 Pb 3.00
Au: 0.0000 0.2739 0.5000  6 Pd 2.79-2.94, 4 Au 2.96, 2 Pb 3.07

Its density of states at the Fermi level is 0.347 states/eV/atom. The value obtained for the formation enthalpy at 0 K is -0.097 eV/atom.